VASP calculation (PBE with a Hubbard U) on a relaxed RbBi2WO6 crystal.

The space group is R3 (No. 146, hexagonal axes) and the conventional cell measures 6.3469, 6.3469 and 15.2885 Å, with angles of 90.00, 90.00 and 120.00 degrees. The asymmetric unit holds Rb at (0.0000, 0.0000, 0.0000), Bi at (0.0000, 0.0000, 0.2879), Bi at (0.0000, 0.0000, 0.7495), W at (0.0000, 0.0000, 0.4972), O at (0.0439, 0.2579, 0.3996) and O at (0.0863, 0.6925, 0.2193).

The uncorrected energy is -6.0478 eV per atom.